Record 1
LaGaAg | PBE | optimized geometry

Energy relative to the elements   -0.28 eV per atom

Cell lengths 3.477, 3.477, 11.538 Å; angles 90.00, 90.00, 90.00 degrees
Space group I4mm (No. 107)
One atom of each set of equivalent atoms:
La  0.000  0.000  0.000 x2
Ga  0.000  0.000  0.685 x2
Ag  0.000  0.000  0.304 x2

---

Record 2
SmEuMgBi | PBE | optimized geometry

Energy relative to the elements   -0.37 eV per atom

Cell lengths 7.877, 7.877, 7.877 Å; angles 90.00, 90.00, 90.00 degrees
Space group F-43m (No. 216)
One atom of each set of equivalent atoms:
Sm  0.000  0.000  0.000 x4
Eu  0.000  0.000  0.500 x4
Mg  0.250  0.250  0.750 x4
Bi  0.250  0.250  0.250 x4

---

Record 3
UMoOs | PBE | optimized geometry

Offset from the most stable computed form   654 meV/atom
Energy relative to the elements   0.84 eV per atom

Cell lengths 2.672, 2.672, 15.378 Å; angles 90.00, 90.00, 90.00 degrees
Space group I4mm (No. 107)
One atom of each set of equivalent atoms:
U  0.000  0.000  0.000 x2
Mo  0.000  0.000  0.331 x2
Os  0.000  0.000  0.172 x2

---

Record 4
La3SnO | PBE | optimized geometry

Energy relative to the elements, uncorrected   -1.351 eV per atom

Cell lengths 12.226, 9.066, 12.177 Å; angles 90.00, 112.31, 90.00 degrees
Space group C2/c (No. 15)
One atom of each set of equivalent atoms:
La  0.051  0.191  0.120 x8
La  0.164  0.113  0.846 x8
La  0.165  0.466  0.385 x8
Sn  0.151  0.337  0.636 x8
O  0.000  0.029  0.250 x4
O  0.000  0.346  0.250 x4

---

Record 5
NdP3Os3 | PBE | optimized geometry

Energy relative to the elements   -0.19 eV per atom

Cell lengths 6.452, 6.452, 6.452 Å; angles 90.00, 90.00, 90.00 degrees
Space group Pm-3n (No. 223)
One atom of each set of equivalent atoms:
Nd  0.000  0.000  0.000 x2
P  0.000  0.250  0.500 x6
Os  0.000  0.500  0.250 x6

---

Record 6
CeZnSi2Pt5 | PBE | optimized geometry

Energy relative to the elements, uncorrected   -0.709 eV per atom

Cell lengths 4.075, 4.075, 10.416 Å; angles 90.00, 90.00, 90.00 degrees
Space group P4/mmm (No. 123)
One atom of each set of equivalent atoms:
Ce  0.000  0.000  0.000 x1
Zn  0.000  0.000  0.500 x1
Si  0.500  0.500  0.226 x2
Pt  0.000  0.500  0.342 x4
Pt  0.500  0.500  0.000 x1

---

Record 7
Mg2AuBr | PBE | optimized geometry

Energy relative to the elements, uncorrected   -0.582 eV per atom
Offset from the most stable computed form   90 meV/atom

Cell lengths 3.411, 3.411, 7.450 Å; angles 90.00, 90.00, 90.00 degrees
Space group P4/mmm (No. 123)
One atom of each set of equivalent atoms:
Mg  0.000  0.000  0.205 x2
Au  0.500  0.500  0.000 x1
Br  0.500  0.500  0.500 x1

---

Record 8
LiPr4Ge4 | PBE | optimized geometry

Energy relative to the elements   -0.79 eV per atom

Cell lengths 7.502, 15.342, 8.068 Å; angles 90.00, 90.00, 90.00 degrees
Space group Pnma (No. 62)
One atom of each set of equivalent atoms:
Li  0.159  0.250  0.032 x4
Pr  0.026  0.601  0.690 x8
Pr  0.176  0.628  0.179 x8
Ge  0.014  0.250  0.579 x4
Ge  0.157  0.037  0.969 x8
Ge  0.230  0.750  0.868 x4

---

Record 9
K3Ag2Cl6 | PBE | optimized geometry

Energy relative to the elements, uncorrected   -1.262 eV per atom

Cell lengths 5.006, 5.006, 26.075 Å; angles 90.00, 90.00, 90.00 degrees
Space group I4/mmm (No. 139)
One atom of each set of equivalent atoms:
K  0.000  0.000  0.000 x2
K  0.000  0.000  0.183 x4
Ag  0.000  0.000  0.404 x4
Cl  0.000  0.000  0.301 x4
Cl  0.000  0.500  0.080 x8

---

Record 10
LiRhSF2 | PBE | optimized geometry

Energy relative to the elements, uncorrected   -0.925 eV per atom

Cell lengths 3.496, 3.496, 5.290 Å; angles 90.00, 90.00, 90.00 degrees
Space group P4/mmm (No. 123)
One atom of each set of equivalent atoms:
Li  0.000  0.000  0.000 x1
Rh  0.500  0.500  0.500 x1
S  0.000  0.000  0.500 x1
F  0.000  0.500  0.000 x2

---

Record 11
Pm9NdMg2 | PBE | optimized geometry

Energy relative to the elements   0.01 eV per atom

Cell lengths 5.059, 5.059, 15.236 Å; angles 90.00, 90.00, 90.00 degrees
Space group P4/mmm (No. 123)
One atom of each set of equivalent atoms:
Pm  0.000  0.000  0.000 x1
Pm  0.000  0.000  0.337 x2
Pm  0.000  0.500  0.172 x4
Pm  0.000  0.500  0.500 x2
Nd  0.500  0.500  0.000 x1
Mg  0.500  0.500  0.338 x2

---

Record 12
Si2WCl | PBE | optimized geometry

Energy relative to the elements, uncorrected   0.249 eV per atom
Offset from the most stable computed form   15 meV/atom

Cell lengths 3.1532, 3.1532, 23.0565 Å; angles 90.00, 90.00, 120.00 degrees
Space group R-3m (No. 166, hexagonal axes)
One atom of each set of equivalent atoms:
Si  0.0000  0.0000  0.2425 x6
W  0.0000  0.0000  0.5000 x3
Cl  0.0000  0.0000  0.0000 x3

---

| no. | electronic total energy (eV per atom) | total moment (μB/atom) |
| --- | --- | --- |
| 1 | -3.883 | 0.00 |
| 2 | -5.486 | 1.98 |
| 3 | -10.275 | 0.17 |
| 4 | -6.100 | 0.00 |
| 5 | -8.005 | 0.00 |
| 6 | -6.070 | 0.11 |
| 7 | -2.617 | 0.00 |
| 8 | -5.183 | 0.00 |
| 9 | -3.087 | 0.00 |
| 10 | -4.352 | 0.34 |
| 11 | -4.216 | 0.00 |
| 12 | -6.163 | 0.00 |